Record 1
{"formula": "LaSiHg", "functional": "PBE", "state": "optimized geometry", "lattice_angstrom": [[0.0000, 3.5793, 3.5793], [3.5793, 0.0000, 3.5793], [3.5793, 3.5793, 0.0000]], "species": ["La", "Si", "Hg"], "frac_coords": [[0.0000, 0.0000, 0.0000], [0.7500, 0.7500, 0.7500], [0.2500, 0.2500, 0.2500]], "magnetic_moment_mub_per_fu": 0.0, "e_form_raw_ev_per_atom": -0.031, "dos_ef_per_ev_atom": 0.843, "sg": "F-43m", "final_energy_ev_per_atom": -3.582}

=====

Record 2
{"formula": "LaSi2Hg", "functional": "PBE", "state": "optimized geometry", "lattice_angstrom": [[3.5098, 0.0000, 0.0000], [0.0000, 3.5098, 0.0000], [0.0000, 0.0000, 7.0889]], "species": ["La", "Si", "Si", "Hg"], "frac_coords": [[0.0000, 0.0000, 0.0000], [0.0000, 0.0000, 0.4189], [0.5000, 0.5000, 0.2909], [0.5000, 0.5000, 0.6808]], "magnetic_moment_mub_per_fu": 0.0, "e_form_raw_ev_per_atom": -0.139, "dos_ef_per_ev_atom": 0.418, "sg": "P4mm", "final_energy_ev_per_atom": -4.158}